Version 1
This record from Alexandria describes Sm2DyPd after structural relaxation. The functional is PBE-GGA.

Results
density of states at the Fermi level = 9.6 states/eV/cell

abc: 6.3736 6.3736 9.6908
angles: 90.00 90.00 144.91
With the nearest neighbours (Å) after each atom.
Fractional coordinates of all 8 atoms:
Sm 0.1351 0.8649 0.5603  2 Pd 2.93
Sm 0.1351 0.8649 0.9397  2 Pd 2.93
Sm 0.8649 0.1351 0.0603  2 Pd 2.93
Sm 0.8649 0.1351 0.4397  2 Pd 2.93
Dy 0.4290 0.5710 0.7500  2 Pd 3.03
Dy 0.5710 0.4290 0.2500  2 Pd 3.03
Pd 0.2634 0.7366 0.2500  4 Sm 2.93, 2 Dy 3.03
Pd 0.7366 0.2634 0.7500  4 Sm 2.93, 2 Dy 3.03

Version 2
This record from Alexandria describes Sm2DyPd after structural relaxation. The functional is PBE-GGA.

Results
density of states at the Fermi level = 5.4 states/eV/cell

abc: 3.6542 3.6542 8.4421
angles: 90.00 90.00 90.00
With the nearest neighbours (Å) after each atom.
Fractional coordinates of all 4 atoms:
Sm 0.0000 0.0000 0.2022  4 Pd 3.10, 1 Sm 3.41
Sm 0.0000 0.0000 0.7978  4 Pd 3.10, 1 Sm 3.41
Dy 0.5000 0.5000 0.5000  8 Sm 3.61, 4 Dy 3.65
Pd 0.5000 0.5000 0.0000  8 Sm 3.10

Most stable: version 1

Version 1
This record from Alexandria describes Sm2DyPd after structural relaxation. The functional is PBE-GGA.

Results
density of states at the Fermi level = 4.9 states/eV/cell

abc: 9.8083 9.8083 9.8083
angles: 22.34 22.34 22.34
With the nearest neighbours (Å) after each atom.
Fractional coordinates of all 4 atoms:
Sm 0.0000 0.0000 0.0000  3 Pd 2.90
Sm 0.2008 0.2008 0.2008  3 Pd 2.90
Dy 0.4338 0.4338 0.4338  6 Sm 3.62, 6 Dy 3.80
Pd 0.6004 0.6004 0.6004  6 Sm 2.90

Version 2
This record from Alexandria describes Sm2DyPd after structural relaxation. The functional is PBE-GGA.

Results
density of states at the Fermi level = 4.4 states/eV/cell

abc: 10.0784 10.0784 10.0784
angles: 21.31 21.31 21.31
With the nearest neighbours (Å) after each atom.
Fractional coordinates of all 4 atoms:
Sm 0.2333 0.2333 0.2333  3 Pd 2.92
Sm 0.7667 0.7667 0.7667  3 Pd 2.92
Dy 0.0000 0.0000 0.0000  6 Sm 3.66, 6 Dy 3.73
Pd 0.5000 0.5000 0.5000  6 Sm 2.92

Most stable: version 2